# 1
Material: Li15Si
Method: DFT, PBE
State: optimized geometry

Unit cell a=5.9206 b=5.9206 c=9.6435 alpha=90.00 beta=90.00 gamma=120.00
With the nearest neighbours (Å) after each atom.
Space group P-6m2 (No. 187)
Inequivalent atoms, fractional coordinates:
Li  0.0000  0.0000  0.0000  12 Li 2.96-3.06
Li  0.0040  0.5020  0.5000  10 Li 2.85-3.08, 2 Si 2.96
Li  0.3182  0.1591  0.2679  1 Si 2.77, 9 Li 2.83-3.09
Li  0.3333  0.6667  0.2327  12 Li 2.86-3.08
Li  0.5057  0.0114  0.0000  12 Li 2.86-3.10
Si  0.0000  0.0000  0.5000  12 Li 2.77-2.96

Calculated values
- raw total energy (eV per atom) = -2.152
- V (Å³/f.u.) = 292.7
- energy relative to the elements, uncorrected (eV per formula unit) = -0.31
- size of the total moment (Bohr magnetons per cell) = 0.00



# 2
Material: Li13Si2
Method: DFT, PBE
State: optimized geometry

Unit cell a=4.8553 b=7.3108 c=7.6678 alpha=68.96 beta=88.78 gamma=82.42
With the nearest neighbours (Å) after each atom.
Space group P-1 (No. 2)
Inequivalent atoms, fractional coordinates:
Li  0.0000  0.0000  0.0000  6 Li 2.55-2.77, 2 Si 2.60
Li  0.1428  0.5169  0.7179  7 Li 2.65-2.95, 2 Si 2.79
Li  0.2292  0.1787  0.1911  3 Li 2.63-2.76, 1 Si 2.90
Li  0.2326  0.9287  0.5991  4 Li 2.62-2.91, 2 Si 2.69-2.76
Li  0.2960  0.6311  0.0571  7 Li 2.77-3.10, 1 Si 2.82
Li  0.3504  0.3738  0.4571  5 Li 2.60-2.85, 3 Si 2.79-2.88
Li  0.4095  0.1372  0.8046  6 Li 2.55-2.83, 2 Si 2.58-2.75
Si  0.1224  0.7712  0.3448  11 Li 2.58-2.88

Calculated values
- raw total energy (eV per atom) = -2.494
- V (Å³/f.u.) = 251.7
- energy relative to the elements, uncorrected (eV per formula unit) = -1.68
- size of the total moment (Bohr magnetons per cell) = 0.00



# 3
Material: Li3Si
Method: DFT, PBE
State: optimized geometry

Unit cell a=2.8318 b=2.8318 c=28.3461 alpha=90.00 beta=90.00 gamma=120.00
With the nearest neighbours (Å) after each atom.
Space group R-3m (No. 166, hexagonal axes)
Inequivalent atoms, fractional coordinates:
Li  0.0000  0.0000  0.0000  12 Li 2.83-3.08
Li  0.0000  0.0000  0.2413  3 Si 2.67, 6 Li 2.83
Si  0.0000  0.0000  0.5000  6 Li 2.67, 6 Si 2.83

Calculated values
- raw total energy (eV per atom) = -2.820
- V (Å³/f.u.) = 65.6
- energy relative to the elements, uncorrected (eV per formula unit) = -0.11
- size of the total moment (Bohr magnetons per cell) = 0.00



# 4
Material: Li3Si
Method: DFT, PBE
State: optimized geometry

Unit cell a=2.8250 b=2.8250 c=9.4209 alpha=90.00 beta=90.00 gamma=120.00
With the nearest neighbours (Å) after each atom.
Space group P-6m2 (No. 187)
Inequivalent atoms, fractional coordinates:
Li  0.0000  0.0000  0.0000  12 Li 2.82-3.07
Li  0.3333  0.6667  0.2762  3 Si 2.67, 6 Li 2.82
Si  0.0000  0.0000  0.5000  6 Li 2.67, 6 Si 2.82

Calculated values
- raw total energy (eV per atom) = -2.803
- V (Å³/f.u.) = 65.1
- energy relative to the elements, uncorrected (eV per formula unit) = -0.05
- size of the total moment (Bohr magnetons per cell) = 0.00



# 5
Material: Li3Si2
Method: DFT, PBE
State: optimized geometry

Unit cell a=8.1326 b=7.7501 c=5.1944 alpha=90.00 beta=91.51 gamma=90.00
With the nearest neighbours (Å) after each atom.
Space group C2/c (No. 15)
Inequivalent atoms, fractional coordinates:
Li  0.0000  0.0641  0.2500  4 Si 2.64-2.75, 2 Li 2.78
Li  0.1546  0.4023  0.4069  5 Si 2.67-2.96, 2 Li 2.96-2.97
Si  0.1230  0.2552  0.8815  2 Si 2.38-2.39, 1 Li 2.64

Calculated values
- raw total energy (eV per atom) = -3.434
- V (Å³/f.u.) = 81.8
- energy relative to the elements, uncorrected (eV per formula unit) = -0.58
- size of the total moment (Bohr magnetons per cell) = 0.00



# 6
Material: LiSi3
Method: DFT, PBE
State: optimized geometry

Unit cell a=2.7136 b=2.7136 c=8.9576 alpha=90.00 beta=90.00 gamma=120.00
With the nearest neighbours (Å) after each atom.
Space group P-6m2 (No. 187)
Inequivalent atoms, fractional coordinates:
Li  0.0000  0.0000  0.0000  6 Si 2.70, 6 Li 2.71
Si  0.0000  0.0000  0.5000  12 Si 2.71-2.77
Si  0.6667  0.3333  0.2453  3 Li 2.70, 9 Si 2.71-2.77

Calculated values
- raw total energy (eV per atom) = -4.268
- V (Å³/f.u.) = 57.1
- energy relative to the elements, uncorrected (eV per formula unit) = 1.11
- size of the total moment (Bohr magnetons per cell) = 0.00



# 7
Material: Li2Si3
Method: DFT, PBE
State: optimized geometry

Unit cell a=4.0734 b=4.0734 c=5.0425 alpha=90.00 beta=90.00 gamma=120.00
With the nearest neighbours (Å) after each atom.
Space group P-3m1 (No. 164)
Inequivalent atoms, fractional coordinates:
Li  0.3333  0.6667  0.3543  8 Si 2.46-2.60
Si  0.0000  0.0000  0.5000  6 Li 2.46
Si  0.3333  0.6667  0.8639  5 Li 2.47-2.60, 3 Si 2.72

Calculated values
- raw total energy (eV per atom) = -3.854
- V (Å³/f.u.) = 72.5
- energy relative to the elements, uncorrected (eV per formula unit) = 0.83
- size of the total moment (Bohr magnetons per cell) = 0.00



# 8
Material: LiSi3
Method: DFT, PBE
State: optimized geometry

Unit cell a=2.6136 b=2.6136 c=8.3665 alpha=90.00 beta=90.00 gamma=90.00
With the nearest neighbours (Å) after each atom.
Space group P4/mmm (No. 123)
Inequivalent atoms, fractional coordinates:
Li  0.0000  0.0000  0.0000  4 Li 2.61, 8 Si 2.77
Si  0.0000  0.0000  0.5000  12 Si 2.61-2.81
Si  0.5000  0.5000  0.2467  8 Si 2.61-2.81, 4 Li 2.77

Calculated values
- raw total energy (eV per atom) = -4.315
- V (Å³/f.u.) = 57.2
- energy relative to the elements, uncorrected (eV per formula unit) = 0.92
- size of the total moment (Bohr magnetons per cell) = 0.00



# 9
Material: Li5Si
Method: DFT, PBE
State: optimized geometry

Unit cell a=7.1409 b=7.1409 c=7.1409 alpha=90.00 beta=90.00 gamma=90.00
With the nearest neighbours (Å) after each atom.
Space group F-43m (No. 216)
Inequivalent atoms, fractional coordinates:
Li  0.0000  0.0000  0.0000  12 Li 2.96, 4 Si 3.09
Li  0.1232  0.1232  0.6232  6 Li 2.49-2.56
Si  0.2500  0.2500  0.2500  16 Li 2.96-3.09

Calculated values
- raw total energy (eV per atom) = -2.505
- V (Å³/f.u.) = 91.0
- energy relative to the elements, uncorrected (eV per formula unit) = -0.04
- size of the total moment (Bohr magnetons per cell) = 3.97



# 10
Material: Li7Si
Method: DFT, PBE
State: optimized geometry

Unit cell a=4.5215 b=4.5215 c=22.4014 alpha=90.00 beta=90.00 gamma=120.00
With the nearest neighbours (Å) after each atom.
Space group R-3m (No. 166, hexagonal axes)
Inequivalent atoms, fractional coordinates:
Li  0.0000  0.0000  0.0000  8 Li 2.83-2.93
Li  0.0000  0.0000  0.1309  1 Li 2.43
Li  0.0000  0.0000  0.2394  1 Li 2.43
Li  0.0000  0.0000  0.3821  1 Si 2.64, 6 Li 2.80-2.83
Si  0.0000  0.0000  0.5000  8 Li 2.64-2.73

Calculated values
- raw total energy (eV per atom) = -2.471
- V (Å³/f.u.) = 132.2
- energy relative to the elements, uncorrected (eV per formula unit) = -0.95
- size of the total moment (Bohr magnetons per cell) = 0.00



# 11
Material: Li5Si
Method: DFT, PBE
State: optimized geometry

Unit cell a=4.6484 b=8.7974 c=4.7015 alpha=90.00 beta=102.85 gamma=90.00
With the nearest neighbours (Å) after each atom.
Space group P2_1/m (No. 11)
Inequivalent atoms, fractional coordinates:
Li  0.0004  0.1016  0.2493  6 Li 2.61-2.92, 2 Si 2.67
Li  0.0027  0.7500  0.2508  8 Li 2.69-2.76, 2 Si 2.91-2.92
Li  0.4984  0.0816  0.7495  9 Li 2.75-2.96, 3 Si 2.78-2.92
Si  0.5001  0.2500  0.2490  12 Li 2.67-2.92

Calculated values
- raw total energy (eV per atom) = -2.646
- V (Å³/f.u.) = 93.7
- energy relative to the elements, uncorrected (eV per formula unit) = -0.89
- size of the total moment (Bohr magnetons per cell) = 0.00



# 12
Material: LiSi3
Method: DFT, PBE
State: optimized geometry

Unit cell a=2.5408 b=4.4724 c=5.1137 alpha=90.00 beta=90.00 gamma=90.00
With the nearest neighbours (Å) after each atom.
Space group Pmmm (No. 47)
Inequivalent atoms, fractional coordinates:
Li  0.0000  0.0000  0.0000  2 Li 2.54
Si  0.5000  0.0000  0.5000  6 Si 2.54-2.59
Si  0.5000  0.5000  0.2445  6 Si 2.50-2.61

Calculated values
- raw total energy (eV per atom) = -4.509
- V (Å³/f.u.) = 58.1
- energy relative to the elements, uncorrected (eV per formula unit) = 0.15
- size of the total moment (Bohr magnetons per cell) = 0.00



# 13
Material: LiSi3
Method: DFT, PBE
State: optimized geometry

Unit cell a=5.5120 b=10.7565 c=4.5284 alpha=90.00 beta=90.00 gamma=90.00
With the nearest neighbours (Å) after each atom.
Space group Cmcm (No. 63)
Inequivalent atoms, fractional coordinates:
Li  0.0000  0.0809  0.2500  8 Si 2.75-3.05, 2 Li 2.86
Si  0.0000  0.4589  0.2500  4 Si 2.39-2.43
Si  0.2155  0.2089  0.7500  4 Si 2.38-2.46

Calculated values
- raw total energy (eV per atom) = -4.511
- V (Å³/f.u.) = 67.1
- energy relative to the elements, uncorrected (eV per formula unit) = 0.14
- size of the total moment (Bohr magnetons per cell) = 0.00



# 14
Material: Li3Si
Method: DFT, PBE
State: optimized geometry

Unit cell a=5.1396 b=5.7669 c=8.8271 alpha=90.00 beta=90.00 gamma=90.00
With the nearest neighbours (Å) after each atom.
Space group Fmmm (No. 69)
Inequivalent atoms, fractional coordinates:
Li  0.0000  0.0000  0.0000  2 Si 2.57, 4 Li 2.64
Li  0.0000  0.2500  0.2500  4 Li 2.57-2.64, 2 Si 2.64
Si  0.0000  0.0000  0.5000  6 Li 2.57-2.64

Calculated values
- raw total energy (eV per atom) = -2.746
- V (Å³/f.u.) = 65.4
- energy relative to the elements, uncorrected (eV per formula unit) = 0.18
- size of the total moment (Bohr magnetons per cell) = 0.00



# 15
Material: LiSi3
Method: DFT, PBE
State: optimized geometry

Unit cell a=9.1458 b=2.6777 c=4.6787 alpha=90.00 beta=96.19 gamma=90.00
With the nearest neighbours (Å) after each atom.
Space group C2/m (No. 12)
Inequivalent atoms, fractional coordinates:
Li  0.0000  0.0000  0.0000  2 Li 2.68, 10 Si 2.70-2.78
Si  0.0000  0.5000  0.5000  8 Si 2.62-2.81, 4 Li 2.70
Si  0.2460  0.5000  0.2599  9 Si 2.61-2.81, 3 Li 2.74-2.78

Calculated values
- raw total energy (eV per atom) = -4.375
- V (Å³/f.u.) = 57.0
- energy relative to the elements, uncorrected (eV per formula unit) = 0.68
- size of the total moment (Bohr magnetons per cell) = 0.00



# 16
Material: LiSi3
Method: DFT, PBE
State: optimized geometry

Unit cell a=5.3722 b=5.3722 c=4.5311 alpha=90.00 beta=90.00 gamma=120.00
With the nearest neighbours (Å) after each atom.
Space group P6_3/mmc (No. 194)
Inequivalent atoms, fractional coordinates:
Li  0.3333  0.6667  0.2500  12 Si 2.69-2.75
Si  0.1650  0.3300  0.7500  8 Si 2.66-2.74, 4 Li 2.69-2.75

Calculated values
- raw total energy (eV per atom) = -4.372
- V (Å³/f.u.) = 56.6
- energy relative to the elements, uncorrected (eV per formula unit) = 0.70
- size of the total moment (Bohr magnetons per cell) = 0.00



# 17
Material: Li3Si
Method: DFT, PBE
State: optimized geometry

Unit cell a=3.9314 b=3.9314 c=3.9314 alpha=90.00 beta=90.00 gamma=90.00
With the nearest neighbours (Å) after each atom.
Space group Pm-3m (No. 221)
Inequivalent atoms, fractional coordinates:
Li  0.0000  0.0000  0.5000  8 Li 2.78, 4 Si 2.78
Si  0.5000  0.5000  0.5000  12 Li 2.78

Calculated values
- raw total energy (eV per atom) = -2.862
- V (Å³/f.u.) = 60.8
- energy relative to the elements, uncorrected (eV per formula unit) = -0.28
- size of the total moment (Bohr magnetons per cell) = 0.28



# 18
Material: Li6Si
Method: DFT, PBE
State: optimized geometry

Unit cell a=6.6983 b=6.6983 c=6.6983 alpha=90.00 beta=90.00 gamma=90.00
With the nearest neighbours (Å) after each atom.
Space group Im-3m (No. 229)
Inequivalent atoms, fractional coordinates:
Li  0.0000  0.2500  0.5000  4 Li 2.37
Si  0.0000  0.0000  0.0000  24 Li 3.74

Calculated values
- raw total energy (eV per atom) = -1.749
- V (Å³/f.u.) = 150.3
- energy relative to the elements, uncorrected (eV per formula unit) = 4.66
- size of the total moment (Bohr magnetons per cell) = 0.00



# 19
Material: Li3Si
Method: DFT, PBE
State: optimized geometry

Unit cell a=8.4030 b=8.4030 c=2.9899 alpha=90.00 beta=90.00 gamma=120.00
With the nearest neighbours (Å) after each atom.
Space group R-3m (No. 166, hexagonal axes)
Inequivalent atoms, fractional coordinates:
Li  0.0000  0.5000  0.0000  4 Li 2.62, 2 Si 2.62
Si  0.0000  0.0000  0.0000  6 Li 2.62

Calculated values
- raw total energy (eV per atom) = -2.897
- V (Å³/f.u.) = 60.9
- energy relative to the elements, uncorrected (eV per formula unit) = -0.42
- size of the total moment (Bohr magnetons per cell) = 0.00



# 20
Material: Li7Si3
Method: DFT, PBE
State: optimized geometry

Unit cell a=7.5723 b=7.5723 c=17.9893 alpha=90.00 beta=90.00 gamma=120.00
With the nearest neighbours (Å) after each atom.
Space group P3_212 (No. 153)
Inequivalent atoms, fractional coordinates:
Li  0.0855  0.5306  0.2068  4 Si 2.56-2.82, 5 Li 2.57-2.80
Li  0.0867  0.2220  0.1262  4 Si 2.56-2.81, 5 Li 2.57-2.75
Li  0.1084  0.2225  0.9835  5 Li 2.57-2.70, 4 Si 2.62-2.84
Li  0.1083  0.5531  0.3496  5 Li 2.57-2.71, 4 Si 2.62-2.84
Li  0.1114  0.2227  0.8333  8 Li 2.70-2.74
Li  0.1141  0.5571  0.5000  8 Li 2.71-2.74
Li  0.4463  0.2220  0.3648  7 Li 2.65-2.90, 3 Si 2.68-2.71
Li  0.4669  0.2236  0.2116  4 Si 2.64-2.81, 6 Li 2.74-2.85
Si  0.1015  0.2224  0.3986  1 Si 2.35, 3 Li 2.56-2.63
Si  0.1284  0.5598  0.9346  1 Si 2.36, 3 Li 2.56-2.63
Si  0.4265  0.2090  0.9342  1 Si 2.37, 3 Li 2.62-2.64

Calculated values
- raw total energy (eV per atom) = -3.229
- V (Å³/f.u.) = 148.9
- energy relative to the elements, uncorrected (eV per formula unit) = -2.62
- size of the total moment (Bohr magnetons per cell) = 0.00